A plane-wave DFT calculation with PBE+U was carried out for a relaxed RbGdMo2O8 crystal.

Output
- Density of states at the Fermi level: 0.0 states/eV/cell
- M_tot: 27.9 μB per cell
- Density: 4.46 Mg/m³
- Total DFT energy (no corrections): -7.90 eV per atom
- Space group: Pbcn

abc: 5.187 19.561 8.251
angles: 90.00 90.00 90.00
Fractional positions:
Rb  0.000  0.226  0.250
Rb  0.000  0.774  0.750
Rb  0.500  0.274  0.750
Rb  0.500  0.726  0.250
Gd  0.000  0.004  0.750
Gd  0.000  0.996  0.250
Gd  0.500  0.496  0.250
Gd  0.500  0.504  0.750
Mo  0.024  0.403  0.510
Mo  0.024  0.597  0.010
Mo  0.476  0.097  0.010
Mo  0.476  0.903  0.510
Mo  0.524  0.097  0.490
Mo  0.524  0.903  0.990
Mo  0.976  0.403  0.990
Mo  0.976  0.597  0.490
O  0.094  0.318  0.983
O  0.094  0.682  0.483
O  0.231  0.407  0.336
O  0.231  0.593  0.836
O  0.240  0.412  0.682
O  0.240  0.588  0.182
O  0.250  0.036  0.503
O  0.250  0.464  0.003
O  0.250  0.536  0.503
O  0.250  0.964  0.003
O  0.260  0.088  0.182
O  0.260  0.912  0.682
O  0.269  0.093  0.836
O  0.269  0.907  0.336
O  0.406  0.182  0.483
O  0.406  0.818  0.983
O  0.594  0.182  0.017
O  0.594  0.818  0.517
O  0.731  0.093  0.664
O  0.731  0.907  0.164
O  0.740  0.088  0.318
O  0.740  0.912  0.818
O  0.750  0.036  0.997
O  0.750  0.464  0.497
O  0.750  0.536  0.997
O  0.750  0.964  0.497
O  0.760  0.412  0.818
O  0.760  0.588  0.318
O  0.769  0.407  0.164
O  0.769  0.593  0.664
O  0.906  0.318  0.517
O  0.906  0.682  0.017